Below is a relaxed structure of Er4ZrPd5, with properties calculated at the PBE-GGA level.

a b c (Å): 3.4497 3.4497 17.3666
angles (deg): 90.00 90.00 90.00
With the nearest neighbours (Å) after each atom.
Sites, in units of the cell vectors:
Er  0.0000  0.0000  0.1016  8 Pd 3.00-3.01
Er  0.0000  0.0000  0.3044  8 Pd 3.02-3.06
Er  0.0000  0.0000  0.6956  8 Pd 3.02-3.06
Er  0.0000  0.0000  0.8984  8 Pd 3.00-3.01
Zr  0.0000  0.0000  0.5000  8 Pd 2.89
Pd  0.5000  0.5000  0.0000  8 Er 3.01
Pd  0.5000  0.5000  0.2023  8 Er 3.00-3.02
Pd  0.5000  0.5000  0.4108  4 Zr 2.89, 4 Er 3.06, 1 Pd 3.10
Pd  0.5000  0.5000  0.5892  4 Zr 2.89, 4 Er 3.06, 1 Pd 3.10
Pd  0.5000  0.5000  0.7977  8 Er 3.00-3.02

Computed properties:
Total moment, μB per cell: 0.00
V, Å³/cell: 206.7
E_form, eV per atom: -0.84
Total energy, eV/atom: -6.117

=====

Below is a relaxed structure of Be3SnIr, with properties calculated at the PBE-GGA level.

a b c (Å): 4.3821 4.3821 4.3821
angles (deg): 90.00 90.00 90.00
With the nearest neighbours (Å) after each atom.
Sites, in units of the cell vectors:
Be  0.0000  0.0000  0.5000  2 Sn 2.19
Be  0.0000  0.5000  0.0000  2 Sn 2.19
Be  0.5000  0.0000  0.0000  2 Sn 2.19
Sn  0.0000  0.0000  0.0000  6 Be 2.19
Ir  0.5000  0.5000  0.5000  12 Be 3.10

Computed properties:
Total moment, μB per cell: 0.00
Excess energy over the best structure of this formula in the dataset, kJ/mol of atoms: 127.22
V, Å³/cell: 84.2
E_form, eV per atom: 1.57
Total energy, eV/atom: -3.240

=====

Below is a relaxed structure of CaCd, with properties calculated at the PBE-GGA level.

a b c (Å): 3.8369 3.8369 10.1511
angles (deg): 90.00 90.00 120.00
With the nearest neighbours (Å) after each atom.
Sites, in units of the cell vectors:
Ca  0.3333  0.6667  0.1582  3 Cd 3.28
Ca  0.6667  0.3333  0.8418  3 Cd 3.28
Cd  0.3333  0.6667  0.6036  3 Cd 3.05, 3 Ca 3.28
Cd  0.6667  0.3333  0.3964  3 Cd 3.05, 3 Ca 3.28

Computed properties:
Total moment, μB per cell: 0.00
V, Å³/cell: 129.4
E_form, eV per atom: -0.08
Total energy, eV/atom: -1.539

=====

Below is a relaxed structure of PuZrHgOs, with properties calculated at the PBE-GGA level.

a b c (Å): 4.9230 4.9230 4.9230
angles (deg): 60.00 60.00 60.00
With the nearest neighbours (Å) after each atom.
Sites, in units of the cell vectors:
Pu  0.0000  0.0000  0.0000  4 Hg 3.01, 4 Os 3.01
Zr  0.5000  0.5000  0.5000  4 Hg 3.01, 4 Os 3.01
Hg  0.2500  0.2500  0.2500  4 Zr 3.01, 4 Pu 3.01
Os  0.7500  0.7500  0.7500  4 Zr 3.01, 4 Pu 3.01

Computed properties:
Total moment, μB per cell: 5.31
V, Å³/cell: 84.4
E_form, eV per atom: 0.04
Total energy, eV/atom: -8.558

=====

Below is a relaxed structure of CeSbS3, with properties calculated at the PBE-GGA level.

a b c (Å): 7.7350 3.8869 15.5406
angles (deg): 90.00 90.00 90.00
With the nearest neighbours (Å) after each atom.
Sites, in units of the cell vectors:
Ce  0.1179  0.2500  0.2042  7 S 2.84-3.17
Ce  0.3821  0.7500  0.7042  7 S 2.84-3.17
Ce  0.6179  0.2500  0.2958  7 S 2.84-3.17
Ce  0.8821  0.7500  0.7958  7 S 2.84-3.17
Sb  0.2145  0.7500  0.4660  5 S 2.69-2.80
Sb  0.2855  0.2500  0.9660  5 S 2.69-2.80
Sb  0.7145  0.7500  0.0340  5 S 2.69-2.80
Sb  0.7855  0.2500  0.5340  5 S 2.69-2.80
S  0.0061  0.2500  0.4005  3 Sb 2.69-2.72
S  0.1284  0.7500  0.0691  2 Sb 2.80, 2 Ce 2.86
S  0.1647  0.2500  0.7814  4 Ce 2.84-2.93, 1 Sb 3.02
S  0.3353  0.7500  0.2814  4 Ce 2.84-2.93, 1 Sb 3.02
S  0.3716  0.2500  0.5691  2 Sb 2.80, 2 Ce 2.86
S  0.4939  0.7500  0.9005  3 Sb 2.69-2.72
S  0.5061  0.2500  0.0995  3 Sb 2.69-2.72
S  0.6284  0.7500  0.4309  2 Sb 2.80, 2 Ce 2.86
S  0.6647  0.2500  0.7186  4 Ce 2.84-2.93, 1 Sb 3.02
S  0.8353  0.7500  0.2186  4 Ce 2.84-2.93, 1 Sb 3.02
S  0.8716  0.2500  0.9309  2 Sb 2.80, 2 Ce 2.86
S  0.9939  0.7500  0.5995  3 Sb 2.69-2.72

Computed properties:
Total moment, μB per cell: 3.99
Excess energy over the best structure of this formula in the dataset, kJ/mol of atoms: 0.22
V, Å³/cell: 467.2
Formation energy from raw total energies, kJ/mol of atoms: -103.8
Total energy, eV/atom: -5.563

=====

Below is a relaxed structure of Tm6FeTc, with properties calculated at the PBE-GGA level.

a b c (Å): 6.2996 6.2996 5.9163
angles (deg): 90.00 90.00 120.00
With the nearest neighbours (Å) after each atom.
Sites, in units of the cell vectors:
Tm  0.0000  0.3551  0.2436  1 Fe 2.66, 1 Tc 2.70
Tm  0.0000  0.6449  0.7564  1 Fe 2.66, 1 Tc 2.70
Tm  0.3551  0.0000  0.2436  1 Fe 2.66, 1 Tc 2.70
Tm  0.3551  0.3551  0.7564  1 Fe 2.66, 1 Tc 2.70
Tm  0.6449  0.0000  0.7564  1 Fe 2.66, 1 Tc 2.70
Tm  0.6449  0.6449  0.2436  1 Fe 2.66, 1 Tc 2.70
Fe  0.0000  0.0000  0.0000  6 Tm 2.66, 2 Tc 2.96
Tc  0.0000  0.0000  0.5000  6 Tm 2.70, 2 Fe 2.96

Computed properties:
Total moment, μB per cell: 0.00
V, Å³/cell: 203.3
E_form, eV per atom: -0.10
Total energy, eV/atom: -5.803

=====

Below is a relaxed structure of Ag4TePt2, with properties calculated at the PBE-GGA level.

a b c (Å): 7.6198 7.6198 7.6198
angles (deg): 140.43 140.43 57.20
With the nearest neighbours (Å) after each atom.
Sites, in units of the cell vectors:
Ag  0.0000  0.5000  0.5000  2 Te 2.58
Ag  0.2038  0.2038  0.0000  1 Pt 2.64, 1 Te 2.73
Ag  0.5000  0.0000  0.5000  2 Te 2.58
Ag  0.7962  0.7962  0.0000  1 Pt 2.64, 1 Te 2.73
Te  0.0000  0.0000  0.0000  6 Ag 2.58-2.73
Pt  0.4011  0.4011  0.0000  5 Ag 2.64-2.90, 1 Pt 2.65
Pt  0.5989  0.5989  0.0000  5 Ag 2.64-2.90, 1 Pt 2.65

Computed properties:
Total moment, μB per cell: 0.00
V, Å³/cell: 178.0
Formation energy from raw total energies, kJ/mol of atoms: 67.9
Total energy, eV/atom: -3.100

=====

Below is a relaxed structure of Ho8NiRu2, with properties calculated at the PBE-GGA level.

a b c (Å): 8.9876 8.9876 6.7990
angles (deg): 106.61 106.61 31.09
With the nearest neighbours (Å) after each atom.
Sites, in units of the cell vectors:
Ho  0.0312  0.0312  0.2897  1 Ru 2.90, 2 Ni 2.93
Ho  0.2050  0.2050  0.8143  3 Ru 2.77-3.09
Ho  0.3326  0.3326  0.5352  3 Ru 2.86-3.06, 1 Ni 2.98
Ho  0.4042  0.4042  0.0450  1 Ni 3.05, 2 Ru 3.08, 6 Ho 3.32-3.37
Ho  0.5958  0.5958  0.9550  1 Ni 3.05, 2 Ru 3.08, 6 Ho 3.32-3.37
Ho  0.6674  0.6674  0.4648  3 Ru 2.86-3.06, 1 Ni 2.98
Ho  0.7950  0.7950  0.1857  3 Ru 2.77-3.09
Ho  0.9688  0.9688  0.7103  1 Ru 2.90, 2 Ni 2.93
Ni  0.5000  0.5000  0.5000  8 Ho 2.93-3.05
Ru  0.1853  0.1853  0.2039  9 Ho 2.77-3.09
Ru  0.8147  0.8147  0.7961  9 Ho 2.77-3.09

Computed properties:
Total moment, μB per cell: 0.00
Excess energy over the best structure of this formula in the dataset, kJ/mol of atoms: 0.00
V, Å³/cell: 270.8
E_form, eV per atom: -0.25
Total energy, eV/atom: -5.793

=====

Below is a relaxed structure of Mg8CuPb2, with properties calculated at the PBE-GGA level.

a b c (Å): 8.6831 8.6831 6.6774
angles (deg): 112.38 112.38 33.21
With the nearest neighbours (Å) after each atom.
Sites, in units of the cell vectors:
Mg  0.0017  0.0017  0.2706  2 Cu 2.92, 7 Mg 3.09-3.20
Mg  0.1832  0.1832  0.6884  8 Mg 3.12-3.33, 4 Pb 3.22-3.37
Mg  0.3705  0.3705  0.6202  1 Cu 2.58
Mg  0.3749  0.3749  0.1169  1 Cu 2.58
Mg  0.6251  0.6251  0.8831  1 Cu 2.58
Mg  0.6295  0.6295  0.3798  1 Cu 2.58
Mg  0.8168  0.8168  0.3116  8 Mg 3.12-3.33, 4 Pb 3.22-3.37
Mg  0.9983  0.9983  0.7294  2 Cu 2.92, 7 Mg 3.09-3.20
Cu  0.5000  0.5000  0.5000  4 Mg 2.58
Pb  0.1823  0.1823  0.1822  12 Mg 3.09-3.40
Pb  0.8177  0.8177  0.8178  12 Mg 3.09-3.40

Computed properties:
Total moment, μB per cell: 0.00
V, Å³/cell: 253.0
E_form, eV per atom: -0.02
Total energy, eV/atom: -2.231

=====

Below is a relaxed structure of AlNiC, with properties calculated at the PBE-GGA level.

a b c (Å): 7.2276 7.2276 3.1376
angles (deg): 97.40 97.40 23.11
With the nearest neighbours (Å) after each atom.
Sites, in units of the cell vectors:
Al  0.0000  0.0000  0.0000  8 Ni 2.48-2.53
Al  0.2115  0.2115  0.1314  6 C 2.11-2.32
Ni  0.4071  0.4071  0.4584  2 C 1.94
Ni  0.5942  0.5942  0.5448  1 C 1.94
C  0.7322  0.7322  0.6611  1 C 1.36
C  0.8187  0.8187  0.5150  1 C 1.36

Computed properties:
Total moment, μB per cell: 0.00
Excess energy over the best structure of this formula in the dataset, kJ/mol of atoms: 5.08
V, Å³/cell: 63.8
E_form, eV per atom: 0.12
Total energy, eV/atom: -6.134